[1]
Entry from Alexandria via LeMat-Bulk: a relaxed structure of Pu2Si2Os (GGA-PBE). Values from VASP.

Calculated values
Size of the total moment in μB per atom: 0.097
Energy relative to the elements, uncorrected in kJ/mol of formula units: -218

Quantum ESPRESSO input file:
```
&SYSTEM
  ibrav = 0, nat = 10, ntyp = 3
/
ATOMIC_SPECIES
Pu 244.00 Pu.upf
Si 28.09 Si.upf
Os 190.23 Os.upf
CELL_PARAMETERS angstrom
5.1699 -2.1259 0.0000
5.1699 2.1259 0.0000
-4.9707 0.0000 8.6998
ATOMIC_POSITIONS crystal
Pu 0.0961 0.0961 0.4064
Pu 0.3337 0.3337 0.8087
Pu 0.6663 0.6663 0.1913
Pu 0.9039 0.9039 0.5936
Si 0.0755 0.0755 0.9310
Si 0.3799 0.3799 0.3738
Si 0.6201 0.6201 0.6262
Si 0.9245 0.9245 0.0690
Os 0.3427 0.3427 0.1149
Os 0.6573 0.6573 0.8851
```



[2]
Entry from Alexandria via LeMat-Bulk: a relaxed structure of Pu2TaSi4Os3 (GGA-PBE). Values from VASP.

Calculated values
Size of the total moment in μB per atom: 0.982
Energy relative to the elements, uncorrected in kJ/mol of formula units: -395

Quantum ESPRESSO input file:
```
&SYSTEM
  ibrav = 0, nat = 10, ntyp = 4
/
ATOMIC_SPECIES
Pu 244.00 Pu.upf
Ta 180.95 Ta.upf
Si 28.09 Si.upf
Os 190.23 Os.upf
CELL_PARAMETERS angstrom
4.0178 0.0000 0.0000
0.0000 4.0178 0.0000
0.0000 0.0000 10.8012
ATOMIC_POSITIONS crystal
Pu 0.0000 0.5000 0.2389
Pu 0.5000 0.0000 0.7611
Ta 0.0000 0.0000 0.5000
Si 0.0000 0.0000 0.0000
Si 0.0000 0.5000 0.6484
Si 0.5000 0.0000 0.3516
Si 0.5000 0.5000 0.0000
Os 0.0000 0.5000 0.8722
Os 0.5000 0.0000 0.1278
Os 0.5000 0.5000 0.5000
```



[3]
Entry from Alexandria via LeMat-Bulk: a relaxed structure of PuTaSi2Os (GGA-PBE). Values from VASP.

Calculated values
Size of the total moment in μB per atom: 1.089
Energy relative to the elements, uncorrected in kJ/mol of formula units: -235

Quantum ESPRESSO input file:
```
&SYSTEM
  ibrav = 0, nat = 5, ntyp = 4
/
ATOMIC_SPECIES
Pu 244.00 Pu.upf
Ta 180.95 Ta.upf
Si 28.09 Si.upf
Os 190.23 Os.upf
CELL_PARAMETERS angstrom
-1.9905 1.9905 5.5606
1.9905 -1.9905 5.5606
1.9905 1.9905 -5.5606
ATOMIC_POSITIONS crystal
Pu 0.0000 0.0000 0.0000
Ta 0.2500 0.7500 0.5000
Si 0.3933 0.3933 0.0000
Si 0.6067 0.6067 0.0000
Os 0.7500 0.2500 0.5000
```



[4]
Entry from Alexandria via LeMat-Bulk: a relaxed structure of PuSi2TcOs (GGA-PBE). Values from VASP.

Calculated values
Size of the total moment in μB per atom: 0.996
Energy relative to the elements, uncorrected in kJ/mol of formula units: -243

Quantum ESPRESSO input file:
```
&SYSTEM
  ibrav = 0, nat = 5, ntyp = 4
/
ATOMIC_SPECIES
Pu 244.00 Pu.upf
Si 28.09 Si.upf
Tc 98.00 Tc.upf
Os 190.23 Os.upf
CELL_PARAMETERS angstrom
-2.0687 2.0687 4.9759
2.0687 -2.0687 4.9759
2.0687 2.0687 -4.9759
ATOMIC_POSITIONS crystal
Pu 0.0000 0.0000 0.0000
Si 0.3758 0.3758 0.0000
Si 0.6242 0.6242 0.0000
Tc 0.7500 0.2500 0.5000
Os 0.2500 0.7500 0.5000
```



[5]
Entry from Alexandria via LeMat-Bulk: a relaxed structure of Pu2Si6TcOs (GGA-PBE). Values from VASP.

Calculated values
Size of the total moment in μB per atom: 1.001
Energy relative to the elements, uncorrected in kJ/mol of formula units: -319

Quantum ESPRESSO input file:
```
&SYSTEM
  ibrav = 0, nat = 20, ntyp = 4
/
ATOMIC_SPECIES
Pu 244.00 Pu.upf
Si 28.09 Si.upf
Tc 98.00 Tc.upf
Os 190.23 Os.upf
CELL_PARAMETERS angstrom
2.9199 1.6858 12.3071
-2.9199 1.6858 12.3071
0.0000 -3.3716 12.3071
ATOMIC_POSITIONS crystal
Pu 0.1276 0.1276 0.1276
Pu 0.2800 0.2800 0.2800
Pu 0.7200 0.7200 0.7200
Pu 0.8724 0.8724 0.8724
Si 0.0651 0.6604 0.6604
Si 0.1926 0.1926 0.7744
Si 0.1926 0.7744 0.1926
Si 0.2256 0.8074 0.8074
Si 0.3396 0.3396 0.9349
Si 0.3396 0.9349 0.3396
Si 0.6604 0.0651 0.6604
Si 0.6604 0.6604 0.0651
Si 0.7744 0.1926 0.1926
Si 0.8074 0.2256 0.8074
Si 0.8074 0.8074 0.2256
Si 0.9349 0.3396 0.3396
Tc 0.0000 0.0000 0.0000
Tc 0.5000 0.5000 0.5000
Os 0.4225 0.4225 0.4225
Os 0.5775 0.5775 0.5775
```



[6]
Entry from Alexandria via LeMat-Bulk: a relaxed structure of PuVSi2Os (GGA-PBE). Values from VASP.

Calculated values
Size of the total moment in μB per atom: 1.120
Energy relative to the elements, uncorrected in kJ/mol of formula units: -244

Quantum ESPRESSO input file:
```
&SYSTEM
  ibrav = 0, nat = 5, ntyp = 4
/
ATOMIC_SPECIES
Pu 244.00 Pu.upf
V 50.94 V.upf
Si 28.09 Si.upf
Os 190.23 Os.upf
CELL_PARAMETERS angstrom
-1.9705 1.9705 5.3520
1.9705 -1.9705 5.3520
1.9705 1.9705 -5.3520
ATOMIC_POSITIONS crystal
Pu 0.0000 0.0000 0.0000
V 0.7500 0.2500 0.5000
Si 0.3870 0.3870 0.0000
Si 0.6130 0.6130 0.0000
Os 0.2500 0.7500 0.5000
```



[7]
Entry from Alexandria via LeMat-Bulk: a relaxed structure of Pu2VSi4Os3 (GGA-PBE). Values from VASP.

Calculated values
Size of the total moment in μB per atom: 0.963
Energy relative to the elements, uncorrected in kJ/mol of formula units: -393

Quantum ESPRESSO input file:
```
&SYSTEM
  ibrav = 0, nat = 10, ntyp = 4
/
ATOMIC_SPECIES
Pu 244.00 Pu.upf
V 50.94 V.upf
Si 28.09 Si.upf
Os 190.23 Os.upf
CELL_PARAMETERS angstrom
4.0048 0.0000 0.0000
0.0000 4.0048 0.0000
0.0000 0.0000 10.5687
ATOMIC_POSITIONS crystal
Pu 0.0000 0.5000 0.2446
Pu 0.5000 0.0000 0.7554
V 0.0000 0.0000 0.5000
Si 0.0000 0.0000 0.0000
Si 0.0000 0.5000 0.6372
Si 0.5000 0.0000 0.3628
Si 0.5000 0.5000 0.0000
Os 0.0000 0.5000 0.8685
Os 0.5000 0.0000 0.1315
Os 0.5000 0.5000 0.5000
```



[8]
Entry from Alexandria via LeMat-Bulk: a relaxed structure of SmPuOs (GGA-PBE). Values from VASP.

Calculated values
Size of the total moment in μB per atom: 1.701
Offset from the most stable computed form in eV/atom: 0.170
Energy of formation in eV per formula unit: 0.205

Quantum ESPRESSO input file:
```
&SYSTEM
  ibrav = 0, nat = 3, ntyp = 3
/
ATOMIC_SPECIES
Sm 150.36 Sm.upf
Pu 244.00 Pu.upf
Os 190.23 Os.upf
CELL_PARAMETERS angstrom
0.0000 3.3927 3.3927
3.3927 0.0000 3.3927
3.3927 3.3927 0.0000
ATOMIC_POSITIONS crystal
Sm 0.0000 0.0000 0.0000
Pu 0.5000 0.5000 0.5000
Os 0.2500 0.2500 0.2500
```



| no. | V (A^3/atom) |
| --- | --- |
| 1 | 19.1 |
| 2 | 17.4 |
| 3 | 17.6 |
| 4 | 17.0 |
| 5 | 18.2 |
| 6 | 16.6 |
| 7 | 17.0 |
| 8 | 26.0 |